1.
MnIrRh2N: PBEsol geometry, SCAN.

## Properties
Formation energy (no corrections) (eV/atom): 1.940
SG: P4/mmm (123)
V (Å³ per cell): 103.3
Size of the total moment (μB/cell): 7.219
Mass density (Mg/m³): 7.5

a = 4.6407 Å, b = 4.6407 Å, c = 4.7984 Å
α = 90.00°, β = 90.00°, γ = 90.00°
Fractional coordinates of all 5 atoms:
Mn 0.0000 0.0000 0.0000
Ir 0.0000 0.0000 0.5000
Rh 0.0000 0.5000 0.5000
Rh 0.5000 0.0000 0.5000
N 0.5000 0.5000 0.0000


2.
MnIrSe2N: PBEsol geometry, SCAN.

## Properties
Formation energy (no corrections) (eV/atom): 0.222
SG: P4/mmm (123)
V (Å³ per cell): 93.5
Size of the total moment (μB/cell): 4.544
Mass density (Mg/m³): 7.4

a = 5.0825 Å, b = 5.0825 Å, c = 3.6214 Å
α = 90.00°, β = 90.00°, γ = 90.00°
Fractional coordinates of all 5 atoms:
Mn 0.0000 0.0000 0.0000
Ir 0.5000 0.5000 0.5000
Se 0.0000 0.5000 0.5000
Se 0.5000 0.0000 0.5000
N 0.5000 0.5000 0.0000


3.
Na2MnIr: PBEsol geometry, SCAN.

## Properties
Calculated formation energy (eV per formula unit): 2.70
SG: Fm-3m (225)
V (Å³ per cell): 70.5
Size of the total moment (μB/cell): 4.821
Offset from the most stable computed form (meV per atom): 5
Mass density (Mg/m³): 6.9

a = 4.6364 Å, b = 4.6364 Å, c = 4.6364 Å
α = 60.00°, β = 60.00°, γ = 60.00°
Fractional coordinates of all 4 atoms:
Na 0.2500 0.2500 0.2500
Na 0.7500 0.7500 0.7500
Mn 0.0000 0.0000 0.0000
Ir 0.5000 0.5000 0.5000


4.
Na2MnIr: PBEsol geometry, SCAN.

## Properties
Calculated formation energy (eV per formula unit): 2.68
SG: I-42d (122)
V (Å³ per cell): 223.2
Size of the total moment (μB/cell): 8.764
Offset from the most stable computed form (meV per atom): 0
Mass density (Mg/m³): 4.4

a = 7.3558 Å, b = 7.3558 Å, c = 7.3558 Å
α = 95.52°, β = 95.52°, γ = 143.85°
Fractional coordinates of all 8 atoms:
Na 0.3750 0.2463 0.3713
Na 0.7537 0.1250 0.1287
Na 0.8750 0.0037 0.6287
Na 0.9963 0.6250 0.8713
Mn 0.2500 0.7500 0.5000
Mn 0.5000 0.5000 0.0000
Ir 0.0000 0.0000 0.0000
Ir 0.7500 0.2500 0.5000


5.
Mn2NiIr: PBEsol geometry, SCAN.

## Properties
Calculated formation energy (eV per formula unit): -0.82
SG: I4/mmm (139)
V (Å³ per cell): 46.1
Size of the total moment (μB/cell): 4.541
Mass density (Mg/m³): 13.0

a = 4.4085 Å, b = 4.4085 Å, c = 4.4085 Å
α = 132.21°, β = 132.21°, γ = 69.90°
Fractional coordinates of all 4 atoms:
Mn 0.2500 0.7500 0.5000
Mn 0.7500 0.2500 0.5000
Ni 0.0000 0.0000 0.0000
Ir 0.5000 0.5000 0.0000


6.
MnNi2Ir: PBEsol geometry, SCAN.

## Properties
Calculated formation energy (eV per formula unit): -0.24
SG: Fm-3m (225)
V (Å³ per cell): 47.6
Size of the total moment (μB/cell): 2.710
Mass density (Mg/m³): 12.7

a = 4.0683 Å, b = 4.0683 Å, c = 4.0683 Å
α = 60.00°, β = 60.00°, γ = 60.00°
Fractional coordinates of all 4 atoms:
Mn 0.0000 0.0000 0.0000
Ni 0.2500 0.2500 0.2500
Ni 0.7500 0.7500 0.7500
Ir 0.5000 0.5000 0.5000